Compound: LiSc2Pd8
Source: the Alexandria database
Functional: PBE
Structure: relaxed

- Total magnetic moment: 0.00 μB per formula unit
- Energy relative to the elements: -13.16 kcal/mol of atoms
- Symmetry: Immm, No. 71
- Calculated density: 8.914 g/cm3

Lattice parameters (Å, degrees): 7.590 7.590 7.590 145.87 133.41 59.01
Fractional coordinates of all 11 atoms:
Li1 0.000 0.000 0.000
Sc1 0.304 0.304 0.000
Sc2 0.696 0.696 0.000
Pd1 0.138 0.867 0.271
Pd2 0.174 0.674 0.500
Pd3 0.271 0.500 0.771
Pd4 0.404 0.133 0.271
Pd5 0.596 0.867 0.729
Pd6 0.729 0.500 0.229
Pd7 0.826 0.326 0.500
Pd8 0.862 0.133 0.729

---

Compound: Sc4AlPdO
Source: the Alexandria database
Functional: PBE
Structure: relaxed

- Total magnetic moment: 0.00 μB per formula unit
- Symmetry: Cmcm, No. 63
- Calculated density: 4.140 g/cm3
- Raw formation energy: -1.142 eV/atom

Lattice parameters (Å, degrees): 7.728 7.728 6.094 90.00 90.00 133.47
Fractional coordinates of all 14 atoms:
Sc1 0.000 0.500 0.000
Sc2 0.000 0.500 0.500
Sc3 0.067 0.933 0.750
Sc4 0.416 0.584 0.750
Sc5 0.500 0.000 0.000
Sc6 0.500 0.000 0.500
Sc7 0.584 0.416 0.250
Sc8 0.933 0.067 0.250
Al1 0.385 0.615 0.250
Al2 0.615 0.385 0.750
Pd1 0.117 0.883 0.250
Pd2 0.883 0.117 0.750
O1 0.254 0.746 0.750
O2 0.746 0.254 0.250

---

Compound: VSbIr
Source: the Alexandria database
Functional: PBE
Structure: relaxed

- Total magnetic moment: 0.00 μB per formula unit
- Symmetry: C2/m, No. 12
- Calculated density: 10.007 g/cm3
- Raw formation energy: -0.017 eV/atom

Lattice parameters (Å, degrees): 3.652 3.652 10.009 99.32 99.32 67.70
Fractional coordinates of all 6 atoms:
V1 0.194 0.194 0.076
V2 0.806 0.806 0.924
Sb1 0.283 0.283 0.367
Sb2 0.717 0.717 0.633
Ir1 0.126 0.126 0.807
Ir2 0.874 0.874 0.193

---

Compound: ZrRe3Sn
Source: the Alexandria database
Functional: PBE
Structure: relaxed

- Total magnetic moment: 3.28 μB per formula unit
- Energy relative to the elements: 55.95 kcal/mol of atoms
- Symmetry: Pm-3m, No. 221
- Calculated density: 11.098 g/cm3

Lattice parameters (Å, degrees): 4.863 4.863 4.863 90.00 90.00 90.00
Fractional coordinates of all 5 atoms:
Zr1 0.000 0.000 0.000
Re1 0.000 0.000 0.500
Re2 0.000 0.500 0.000
Re3 0.500 0.000 0.000
Sn1 0.500 0.500 0.500

---

Compound: Nd4TlBiN
Source: the Alexandria database
Functional: PBE
Structure: relaxed

- Total magnetic moment: 0.00 μB per formula unit
- Symmetry: Cmcm, No. 63
- Calculated density: 8.229 g/cm3
- Raw formation energy: -0.777 eV/atom

Lattice parameters (Å, degrees): 8.981 8.981 7.002 90.00 90.00 134.14
Fractional coordinates of all 14 atoms:
Nd1 0.000 0.500 0.000
Nd2 0.000 0.500 0.500
Nd3 0.089 0.911 0.750
Nd4 0.407 0.593 0.750
Nd5 0.500 0.000 0.000
Nd6 0.500 0.000 0.500
Nd7 0.593 0.407 0.250
Nd8 0.911 0.089 0.250
Tl1 0.110 0.890 0.250
Tl2 0.890 0.110 0.750
Bi1 0.394 0.606 0.250
Bi2 0.606 0.394 0.750
N1 0.246 0.754 0.750
N2 0.754 0.246 0.250

---

Compound: Nd2Mg2InRh5
Source: the Alexandria database
Functional: PBE
Structure: relaxed

- Total magnetic moment: 0.00 μB per formula unit
- Energy relative to the elements: -10.16 kcal/mol of atoms
- Symmetry: P4/mbm, No. 127
- Calculated density: 8.645 g/cm3

Lattice parameters (Å, degrees): 10.104 10.104 3.636 90.00 90.00 90.00
Fractional coordinates of all 20 atoms:
Nd1 0.176 0.324 0.000
Nd2 0.324 0.824 0.000
Nd3 0.676 0.176 0.000
Nd4 0.824 0.676 0.000
Mg1 0.123 0.623 0.000
Mg2 0.377 0.123 0.000
Mg3 0.623 0.877 0.000
Mg4 0.877 0.377 0.000
In1 0.000 0.000 0.000
In2 0.500 0.500 0.000
Rh1 0.000 0.500 0.500
Rh2 0.061 0.797 0.500
Rh3 0.203 0.061 0.500
Rh4 0.297 0.561 0.500
Rh5 0.439 0.297 0.500
Rh6 0.500 0.000 0.500
Rh7 0.561 0.703 0.500
Rh8 0.703 0.439 0.500
Rh9 0.797 0.939 0.500
Rh10 0.939 0.203 0.500